Record 1
This record from Alexandria describes an optimized crystal structure of RbCdPb2. The functional is GGA-PBE.

energy of formation = -25 meV per atom
Fermi-level density of states = 2.83 states/eV/cell
space-group type = P4/nmm (129)
total energy = -2.350 eV/atom

Cell lengths 4.8765, 4.8765, 11.8492 Å; angles 90.00, 90.00, 90.00 degrees
Last column: nearest neighbours and their distance in Å.
Element x y z (fractional)
Rb (0.5000, 0.0000, 0.2385)  1 Pb 3.49, 4 Cd 3.60
Pb (0.0000, 0.0000, 0.5000)  4 Cd 3.20, 4 Pb 3.45
Cd (0.0000, 0.5000, 0.3249)  5 Pb 3.18-3.20
Cd (0.5000, 0.0000, 0.6751)  5 Pb 3.18-3.20
Pb (0.0000, 0.5000, 0.0564)  1 Cd 3.18, 1 Rb 3.49
Pb (0.5000, 0.5000, 0.5000)  4 Cd 3.20, 4 Pb 3.45
Rb (0.0000, 0.5000, 0.7615)  1 Pb 3.49, 4 Cd 3.60
Pb (0.5000, 0.0000, 0.9436)  1 Cd 3.18, 1 Rb 3.49

---

Record 2
This record from Alexandria describes an optimized crystal structure of NdEr2Sb3. The functional is GGA-PBE.

Fermi-level density of states = 1.25 states/eV/cell
space-group type = Immm (71)
total energy = -5.492 eV/atom
formation energy without anion corrections = -1.12 eV per atom

Cell lengths 4.4119, 6.2454, 7.6381 Å; angles 114.13, 106.79, 90.00 degrees
Last column: nearest neighbours and their distance in Å.
Element x y z (fractional)
Sb (0.1727, 0.6727, 0.8454)  4 Er 3.08-3.12, 2 Nd 3.18
Sb (0.8273, 0.3273, 0.1546)  4 Er 3.08-3.12, 2 Nd 3.18
Er (0.8351, 0.8351, 0.1701)  6 Sb 3.08-3.12
Er (0.1649, 0.1649, 0.8299)  6 Sb 3.08-3.12
Sb (0.5000, 0.0000, 0.5000)  4 Er 3.10, 2 Nd 3.12
Nd (0.5000, 0.5000, 0.5000)  6 Sb 3.12-3.18

---

Record 3
This record from Alexandria describes an optimized crystal structure of ThBe2Ge2Os. The functional is GGA-PBE.

energy of formation = -295 meV per atom
Fermi-level density of states = 1.93 states/eV/cell
space-group type = P-3m1 (164)
total energy = -6.184 eV/atom

Cell lengths 4.0089, 4.0089, 6.8065 Å; angles 90.00, 90.00, 120.00 degrees
Last column: nearest neighbours and their distance in Å.
Element x y z (fractional)
Be (0.6667, 0.3333, 0.6511)  4 Ge 2.35-2.46, 3 Os 2.53
Os (0.0000, 0.0000, 0.5000)  6 Be 2.53, 6 Ge 2.72
Be (0.3333, 0.6667, 0.3489)  4 Ge 2.35-2.46, 3 Os 2.53
Ge (0.6667, 0.3333, 0.2901)  4 Be 2.35-2.46
Th (0.0000, 0.0000, 0.0000)  6 Ge 3.04, 6 Be 3.32, 2 Os 3.40
Ge (0.3333, 0.6667, 0.7099)  4 Be 2.35-2.46